A geometry-optimized BeCr2NiPb structure, computed with GGA-PBE.

a = 5.174 Å, b = 4.740 Å, c = 5.174 Å
α = 90.00°, β = 90.00°, γ = 90.00°
Sites, in units of the cell vectors:
1 Pb 0.000 0.000 0.000
2 Ni 0.000 0.500 0.000
3 Cr 0.500 0.000 0.000
4 Be 0.500 0.500 0.500
5 Cr 0.000 0.000 0.500

Output
Final energy (eV/atom): -4.691

=====

A geometry-optimized BeCrNi2Rh structure, computed with GGA-PBE.

a = 3.858 Å, b = 4.060 Å, c = 3.858 Å
α = 90.00°, β = 90.00°, γ = 90.00°
Sites, in units of the cell vectors:
1 Cr 0.500 0.500 0.500
2 Rh 0.000 0.500 0.000
3 Ni 0.000 0.000 0.500
4 Ni 0.500 0.000 0.000
5 Be 0.000 0.000 0.000

Output
Final energy (eV/atom): -5.984

=====

A geometry-optimized BeCrTcNi structure, computed with GGA-PBE.

a = 4.020 Å, b = 4.020 Å, c = 4.020 Å
α = 60.00°, β = 60.00°, γ = 60.00°
Sites, in units of the cell vectors:
1 Ni 0.000 0.000 0.000
2 Cr 0.250 0.250 0.250
3 Be 0.750 0.750 0.750
4 Tc 0.500 0.500 0.500

Output
Final energy (eV/atom): -7.431

=====

A geometry-optimized Th2Be3CrNi12 structure, computed with GGA-PBE.

a = 6.974 Å, b = 6.974 Å, c = 6.974 Å
α = 63.63°, β = 63.63°, γ = 63.63°
Sites, in units of the cell vectors:
1 Ni 0.652 0.652 0.096
2 Ni 0.868 0.388 0.868
3 Th 0.609 0.609 0.609
4 Ni 0.348 0.348 0.904
5 Ni 0.904 0.348 0.348
6 Ni 0.388 0.868 0.868
7 Ni 0.868 0.868 0.388
8 Ni 0.132 0.612 0.132
9 Ni 0.652 0.096 0.652
10 Ni 0.132 0.132 0.612
11 Ni 0.348 0.904 0.348
12 Cr 0.000 0.000 0.000
13 Ni 0.096 0.652 0.652
14 Th 0.391 0.391 0.391
15 Be 0.500 0.000 0.000
16 Be 0.000 0.500 0.000
17 Be 0.000 0.000 0.500
18 Ni 0.612 0.132 0.132

Output
Final energy (eV/atom): -5.661

=====

| no. | ρ (Mg/m³) | DFT formation energy (meV/atom) |
| --- | --- | --- |
| 1 | 4.958 | 1802 |
| 2 | 7.729 | 469 |
| 3 | 7.870 | -57 |
| 4 | 7.995 | 174 |